## CeCd (SCAN)

Data for a crystal of CeCd relaxed with PBEsol.

Geometry as POSCAR:
```
CeCd
1.0
3.269 0.000 0.000
0.000 3.985 0.000
0.000 0.000 3.985
Ce Cd
1 1
Direct
0.500 0.500 0.500 Ce
0.000 0.000 0.000 Cd
```

Computed properties:
The space-group type is P4/mmm, No. 123. As for the density of states at the Fermi level: 3.7 states/eV/f.u. The value obtained for the formation energy is -43 kJ/mol of formula units.

***

## Tl2CrSe (SCAN)

Data for a crystal of Tl2CrSe relaxed with PBEsol.

Geometry as POSCAR:
```
Tl2CrSe
1.0
-1.410 -2.630 1.766
-1.240 -1.940 -3.880
5.819 -1.952 1.740
Cr Tl Se
1 2 1
Direct
0.000 0.834 0.669 Cr
0.000 0.078 0.156 Tl
0.500 0.399 0.799 Tl
0.500 0.691 0.382 Se
```

Computed properties:
The space-group type is Amm2, No. 38. As for the density of states at the Fermi level: 2.1 states/eV/f.u. The energy above the lowest structure with this stoichiometry comes out at 0.0 meV/atom. The value obtained for the formation energy without anion corrections is -0.08 eV/atom.

***

## CrPb (SCAN)

Data for a crystal of CrPb relaxed with PBEsol.

Geometry as POSCAR:
```
CrPb
1.0
-0.683 1.992 2.779
-2.433 -2.275 1.032
2.403 -1.737 1.835
Pb Cr
1 1
Direct
0.000 0.000 0.000 Pb
0.500 0.500 0.500 Cr
```

Computed properties:
The space-group type is Pm-3m, No. 221. As for the density of states at the Fermi level: 1.1 states/eV/f.u. The value obtained for the formation energy is 59 kJ/mol of formula units.